Density functional theory data (PBE) for a relaxed structure of AlTeOs2.

Computed properties:
- Symmetry: No. 225
- Energy relative to the lowest polymorph listed for this composition: 0.084 eV per atom

a = 6.332 Å, b = 6.332 Å, c = 6.332 Å
α = 90.00°, β = 90.00°, γ = 90.00°
Element x y z (fractional)
Al: 0.000 0.000 0.000
Al: 0.000 0.500 0.500
Al: 0.500 0.000 0.500
Al: 0.500 0.500 0.000
Te: 0.000 0.000 0.500
Te: 0.000 0.500 0.000
Te: 0.500 0.000 0.000
Te: 0.500 0.500 0.500
Os: 0.250 0.250 0.250
Os: 0.250 0.250 0.750
Os: 0.250 0.750 0.250
Os: 0.250 0.750 0.750
Os: 0.750 0.250 0.250
Os: 0.750 0.250 0.750
Os: 0.750 0.750 0.250
Os: 0.750 0.750 0.750

Density functional theory data (PBE) for a relaxed structure of Ta2FeRh.

Computed properties:
- Symmetry: No. 10
- DFT formation energy: -0.219 eV/atom

a = 2.899 Å, b = 3.585 Å, c = 5.865 Å
α = 90.00°, β = 93.82°, γ = 90.00°
Element x y z (fractional)
Ta: 0.038 0.000 0.263
Ta: 0.962 0.000 0.737
Fe: 0.500 0.500 0.500
Rh: 0.500 0.500 0.000

Density functional theory data (PBE) for a relaxed structure of AgP2SBr.

Computed properties:
- Symmetry: No. 123
- Energy relative to the lowest polymorph listed for this composition: 0.000 eV per atom

a = 4.957 Å, b = 4.957 Å, c = 4.761 Å
α = 90.00°, β = 90.00°, γ = 90.00°
Element x y z (fractional)
Ag: 0.000 0.000 0.000
P: 0.000 0.500 0.000
P: 0.500 0.000 0.000
S: 0.000 0.000 0.500
Br: 0.500 0.500 0.500

Density functional theory data (PBE) for a relaxed structure of La2DyCd5.

Computed properties:
- Symmetry: No. 139
- DFT formation energy: -0.307 eV/atom

a = 5.192 Å, b = 5.192 Å, c = 15.842 Å
α = 90.00°, β = 90.00°, γ = 90.00°
Element x y z (fractional)
La: 0.000 0.000 0.237
La: 0.000 0.000 0.763
La: 0.500 0.500 0.263
La: 0.500 0.500 0.737
Dy: 0.000 0.000 0.500
Dy: 0.500 0.500 0.000
Cd: 0.000 0.000 0.000
Cd: 0.000 0.500 0.111
Cd: 0.000 0.500 0.389
Cd: 0.000 0.500 0.611
Cd: 0.000 0.500 0.889
Cd: 0.500 0.000 0.111
Cd: 0.500 0.000 0.389
Cd: 0.500 0.000 0.611
Cd: 0.500 0.000 0.889
Cd: 0.500 0.500 0.500

Density functional theory data (PBE) for a relaxed structure of Ca4SnH2.

Computed properties:
- DFT total energy: -3.13 eV/atom
- Symmetry: No. 1

a = 6.967 Å, b = 6.980 Å, c = 8.811 Å
α = 68.11°, β = 68.81°, γ = 88.62°
Element x y z (fractional)
Ca: 0.000 0.000 0.000
Ca: 0.047 0.808 0.660
Ca: 0.178 0.398 0.493
Ca: 0.292 0.524 0.940
Ca: 0.440 0.976 0.141
Ca: 0.589 0.121 0.637
Ca: 0.663 0.682 0.477
Ca: 0.720 0.473 0.146
Sn: 0.006 0.135 0.310
Sn: 0.754 0.364 0.815
H: 0.009 0.701 0.947
H: 0.309 0.607 0.630
H: 0.531 0.412 0.435
H: 0.701 0.784 0.190

Density functional theory data (PBE) for a relaxed structure of Na4Hg4Bi.

Computed properties:
- Symmetry: No. 139
- DFT formation energy: -0.214 eV/atom

a = 7.402 Å, b = 7.402 Å, c = 7.402 Å
α = 96.06°, β = 96.06°, γ = 142.07°
Element x y z (fractional)
Na: 0.167 0.167 0.334
Na: 0.167 0.833 0.000
Na: 0.833 0.167 0.000
Na: 0.833 0.833 0.666
Hg: 0.162 0.500 0.662
Hg: 0.500 0.162 0.662
Hg: 0.500 0.838 0.338
Hg: 0.838 0.500 0.338
Bi: 0.500 0.500 0.000

Density functional theory data (PBE) for a relaxed structure of NaTl2GaRh.

Computed properties:
- Symmetry: No. 123
- DFT formation energy: -0.078 eV/atom

a = 5.305 Å, b = 5.305 Å, c = 4.844 Å
α = 90.00°, β = 90.00°, γ = 90.00°
Element x y z (fractional)
Na: 0.000 0.000 0.000
Tl: 0.000 0.500 0.500
Tl: 0.500 0.000 0.500
Ga: 0.500 0.500 0.000
Rh: 0.500 0.500 0.500

Density functional theory data (PBE) for a relaxed structure of ZrGa3Pd.

Computed properties:
- Symmetry: No. 221
- DFT formation energy: 0.798 eV/atom
- Energy relative to the lowest polymorph listed for this composition: 1.333 eV per atom

a = 5.138 Å, b = 5.138 Å, c = 5.138 Å
α = 90.00°, β = 90.00°, γ = 90.00°
Element x y z (fractional)
Zr: 0.000 0.000 0.000
Ga: 0.000 0.000 0.500
Ga: 0.000 0.500 0.000
Ga: 0.500 0.000 0.000
Pd: 0.500 0.500 0.500

Density functional theory data (PBE) for a relaxed structure of Sr3AlP.

Computed properties:
- Symmetry: No. 221
- DFT formation energy: -0.380 eV/atom
- Energy relative to the lowest polymorph listed for this composition: 0.000 eV per atom

a = 5.828 Å, b = 5.828 Å, c = 5.828 Å
α = 90.00°, β = 90.00°, γ = 90.00°
Element x y z (fractional)
Sr: 0.000 0.000 0.500
Sr: 0.000 0.500 0.000
Sr: 0.500 0.000 0.000
Al: 0.500 0.500 0.500
P: 0.000 0.000 0.000

Density functional theory data (PBE) for a relaxed structure of TbPaGa2.

Computed properties:
- Symmetry: No. 225
- DFT formation energy: -0.292 eV/atom
- Energy relative to the lowest polymorph listed for this composition: 0.097 eV per atom

a = 7.156 Å, b = 7.156 Å, c = 7.156 Å
α = 90.00°, β = 90.00°, γ = 90.00°
Element x y z (fractional)
Tb: 0.000 0.000 0.000
Tb: 0.000 0.500 0.500
Tb: 0.500 0.000 0.500
Tb: 0.500 0.500 0.000
Pa: 0.000 0.000 0.500
Pa: 0.000 0.500 0.000
Pa: 0.500 0.000 0.000
Pa: 0.500 0.500 0.500
Ga: 0.250 0.250 0.250
Ga: 0.250 0.250 0.750
Ga: 0.250 0.750 0.250
Ga: 0.250 0.750 0.750
Ga: 0.750 0.250 0.250
Ga: 0.750 0.250 0.750
Ga: 0.750 0.750 0.250
Ga: 0.750 0.750 0.750

Density functional theory data (PBE) for a relaxed structure of NaTaTl2In.

Computed properties:
- Symmetry: No. 123
- DFT formation energy: 0.460 eV/atom

a = 5.509 Å, b = 5.509 Å, c = 5.472 Å
α = 90.00°, β = 90.00°, γ = 90.00°
Element x y z (fractional)
Na: 0.000 0.000 0.000
Ta: 0.500 0.500 0.500
Tl: 0.000 0.500 0.500
Tl: 0.500 0.000 0.500
In: 0.500 0.500 0.000

Density functional theory data (PBE) for a relaxed structure of LiCeAgRh.

Computed properties:
- Symmetry: No. 216
- DFT formation energy: -0.207 eV/atom

a = 6.814 Å, b = 6.814 Å, c = 6.814 Å
α = 90.00°, β = 90.00°, γ = 90.00°
Element x y z (fractional)
Li: 0.000 0.000 0.000
Li: 0.000 0.500 0.500
Li: 0.500 0.000 0.500
Li: 0.500 0.500 0.000
Ce: 0.000 0.000 0.500
Ce: 0.000 0.500 0.000
Ce: 0.500 0.000 0.000
Ce: 0.500 0.500 0.500
Ag: 0.250 0.250 0.750
Ag: 0.250 0.750 0.250
Ag: 0.750 0.250 0.250
Ag: 0.750 0.750 0.750
Rh: 0.250 0.250 0.250
Rh: 0.250 0.750 0.750
Rh: 0.750 0.250 0.750
Rh: 0.750 0.750 0.250